{
  "formula": "ScSb2Te",
  "functional": "PBE-GGA",
  "state": "optimized geometry",
  "raw_formation_energy_ev_per_atom": -0.3555,
  "lattice": [[3.785, 0.000, 0.000], [0.000, 4.407, 0.000], [0.000, 0.000, 13.474]],
  "species": ["Sc", "Sc", "Sb", "Sb", "Sb", "Sb", "Te", "Te"],
  "fractional_positions": [[0.000, 0.000, 0.000], [0.500, 0.500, 0.500], [0.000, 0.500, 0.292], [0.000, 0.500, 0.708], [0.500, 0.000, 0.208], [0.500, 0.000, 0.792], [0.000, 0.000, 0.500], [0.500, 0.500, 0.000]]
}